(1)
A plane-wave DFT calculation with GGA-PBE was carried out for AcHfTh after structural relaxation.

Structure (CIF):
```
data_AcHfTh
_cell_length_a 6.380
_cell_length_b 6.196
_cell_length_c 6.665
_cell_angle_alpha 75.73
_cell_angle_beta 61.41
_cell_angle_gamma 59.01
_symmetry_space_group_name_H-M 'P 1'
_symmetry_Int_Tables_number 1
loop_
_symmetry_equiv_pos_as_xyz
'x,y,z'
loop_
_atom_site_label
_atom_site_fract_x
_atom_site_fract_y
_atom_site_fract_z
Th1 0.330 0.000 0.339
Ac1 0.167 0.665 0.000
Hf1 0.250 0.500 0.500
Hf2 0.750 0.500 0.500
Ac2 0.833 0.335 0.000
Th2 0.670 0.000 0.661
```

Summary:
Space-group type: Fmmm
Energy relative to the elements in eV/atom: 0.33
DOS(E_F) in states/eV per atom: 1.47
Total energy in eV for the cell shown: -40.99

(2)
A plane-wave DFT calculation with GGA-PBE was carried out for AcHf2Ti after structural relaxation.

Structure (CIF):
```
data_AcHf2Ti
_cell_length_a 3.245
_cell_length_b 3.245
_cell_length_c 11.349
_cell_angle_alpha 81.78
_cell_angle_beta 81.78
_cell_angle_gamma 60.00
_symmetry_space_group_name_H-M 'P 1'
_symmetry_Int_Tables_number 1
loop_
_symmetry_equiv_pos_as_xyz
'x,y,z'
loop_
_atom_site_label
_atom_site_fract_x
_atom_site_fract_y
_atom_site_fract_z
Hf1 0.098 0.098 0.706
Ac1 0.000 0.000 0.000
Hf2 0.902 0.902 0.294
Ti1 0.500 0.500 0.500
```

Summary:
Space-group type: R-3m
Energy relative to the elements in eV/atom: 0.47
DOS(E_F) in states/eV per atom: 1.34
Total energy in eV for the cell shown: -30.03